An optimized crystal structure of Ho2TmSn. Source: Alexandria via LeMat-Bulk, functional PBE.

Geometry as POSCAR:
```
Ho2TmSn
1.0
1.723 0.995 11.708
-1.723 0.995 11.708
0.000 -1.990 11.708
Ho Tm Sn
2 1 1
direct
0.094 0.094 0.094
0.906 0.906 0.906
0.000 0.000 0.000
0.500 0.500 0.500
```

Calculated values
calculated total energy	-17.5	eV per cell
total magnetization	0.75	μB per cell
distance to the lowest polymorph of the same formula	41.62	kJ/mol of atoms
ΔH_f (0 K)	0.12	eV per formula unit